(1)
A geometry-optimized CsAgTe2 structure, computed with GGA-PBEsol.

The structure in CIF format:
```
data_CsAgTe2
_cell_length_a 10.680
_cell_length_b 7.230
_cell_length_c 7.377
_cell_angle_alpha 90.00
_cell_angle_beta 98.04
_cell_angle_gamma 90.00
_symmetry_space_group_name_H-M 'C 1 2/m 1'
_symmetry_Int_Tables_number 12
loop_
_symmetry_equiv_pos_as_xyz
'x,y,z'
'-x,-y,-z'
'-x,y,-z'
'x,-y,z'
'x+1/2,y+1/2,z'
'-x+1/2,-y+1/2,-z'
'-x+1/2,y+1/2,-z'
'x+1/2,-y+1/2,z'
loop_
_atom_site_label
_atom_site_fract_x
_atom_site_fract_y
_atom_site_fract_z
Cs1 0.213 0.000 0.195
Ag1 0.000 0.302 0.500
Te1 0.101 0.500 0.222
Te2 0.133 0.000 0.671
```

## Properties
energy relative to the elements, uncorrected = -487 meV/atom
total DFT energy (no corrections) = -53.02 eV for the cell shown

=====

(2)
A geometry-optimized CsAgTe2 structure, computed with GGA-PBEsol.

The structure in CIF format:
```
data_CsAgTe2
_cell_length_a 5.963
_cell_length_b 5.963
_cell_length_c 18.416
_cell_angle_alpha 90.00
_cell_angle_beta 90.00
_cell_angle_gamma 90.00
_symmetry_space_group_name_H-M 'I -4 2 d'
_symmetry_Int_Tables_number 122
_symmetry_space_group_name_Hall 'I -4 2bw'
loop_
_atom_site_label
_atom_site_fract_x
_atom_site_fract_y
_atom_site_fract_z
Cs1 0.000 0.000 0.000
Ag1 0.000 0.000 0.500
Te1 0.060 0.250 0.625
```

## Properties
energy relative to the elements, uncorrected = -398 meV/atom
total DFT energy (no corrections) = -51.60 eV for the cell shown

=====

(3)
A geometry-optimized Cs2ZrAg2Te4 structure, computed with GGA-PBEsol.

The structure in CIF format:
```
data_Cs2ZrAg2Te4
_cell_length_a 6.475
_cell_length_b 15.019
_cell_length_c 6.474
_cell_angle_alpha 90.00
_cell_angle_beta 90.00
_cell_angle_gamma 90.00
_symmetry_space_group_name_H-M 'C 2 2 2'
_symmetry_Int_Tables_number 21
loop_
_symmetry_equiv_pos_as_xyz
'x,y,z'
'-x,-y,z'
'x,-y,-z'
'-x,y,-z'
'x+1/2,y+1/2,z'
'-x+1/2,-y+1/2,z'
'x+1/2,-y+1/2,-z'
'-x+1/2,y+1/2,-z'
loop_
_atom_site_label
_atom_site_fract_x
_atom_site_fract_y
_atom_site_fract_z
Cs1 0.250 0.250 0.242
Zr1 0.000 0.000 0.500
Ag1 0.000 0.000 0.000
Ag2 0.000 0.500 0.500
Te1 0.245 0.106 0.744
```

## Properties
energy relative to the elements, uncorrected = -775 meV/atom
total DFT energy (no corrections) = -77.35 eV for the cell shown

=====

(4)
A geometry-optimized CsTiAg3 structure, computed with GGA-PBEsol.

The structure in CIF format:
```
data_CsTiAg3
_cell_length_a 5.566
_cell_length_b 5.566
_cell_length_c 5.566
_cell_angle_alpha 90.00
_cell_angle_beta 90.00
_cell_angle_gamma 90.00
_symmetry_space_group_name_H-M 'P m -3 m'
_symmetry_Int_Tables_number 221
_symmetry_space_group_name_Hall '-P 4 2 3'
loop_
_atom_site_label
_atom_site_fract_x
_atom_site_fract_y
_atom_site_fract_z
Cs1 0.000 0.000 0.000
Ti1 0.500 0.500 0.500
Ag1 0.000 0.000 0.500
```

## Properties
total DFT energy (no corrections) = -9.67 eV for the cell shown

=====

(5)
A geometry-optimized CsTlAg structure, computed with GGA-PBEsol.

The structure in CIF format:
```
data_CsTlAg
_cell_length_a 5.389
_cell_length_b 4.724
_cell_length_c 8.435
_cell_angle_alpha 90.00
_cell_angle_beta 95.88
_cell_angle_gamma 90.00
_symmetry_space_group_name_H-M 'P 1 21/m 1'
_symmetry_Int_Tables_number 11
loop_
_symmetry_equiv_pos_as_xyz
'x,y,z'
'-x,-y,-z'
'-x,y+1/2,-z'
'x,-y+1/2,z'
loop_
_atom_site_label
_atom_site_fract_x
_atom_site_fract_y
_atom_site_fract_z
Cs1 0.234 0.250 0.346
Tl1 0.332 0.250 0.861
Ag1 0.151 0.750 0.009
```

## Properties
total DFT energy (no corrections) = -13.93 eV for the cell shown

=====

(6)
A geometry-optimized CsTl3Ag structure, computed with GGA-PBEsol.

The structure in CIF format:
```
data_CsTl3Ag
_cell_length_a 5.564
_cell_length_b 5.564
_cell_length_c 5.564
_cell_angle_alpha 90.00
_cell_angle_beta 90.00
_cell_angle_gamma 90.00
_symmetry_space_group_name_H-M 'P m -3 m'
_symmetry_Int_Tables_number 221
_symmetry_space_group_name_Hall '-P 4 2 3'
loop_
_atom_site_label
_atom_site_fract_x
_atom_site_fract_y
_atom_site_fract_z
Cs1 0.000 0.000 0.000
Tl1 0.000 0.500 0.500
Ag1 0.500 0.500 0.500
```

## Properties
total DFT energy (no corrections) = -11.50 eV for the cell shown

=====

Q: total DFT energy (no corrections) of number 4 (CsTiAg3)?
A: -9.67 eV for the cell shown